# NbCu2MoS

Crystalline NbCu2MoS at its relaxed geometry (PBE-GGA, Alexandria via LeMat-Bulk).

Geometry as extended XYZ:
```
5
Lattice="4.188 0.000 0.000 0.000 4.188 0.000 0.000 0.000 4.690" Properties=species:S:1:pos:R:3 pbc="T T T"
Nb 0.000 0.000 0.000
Cu 0.000 2.094 2.345
Cu 2.094 0.000 2.345
Mo 2.094 2.094 0.000
S 0.000 0.000 2.345
```

Results
theoretical density = 7.0 g/cm³
N(E_F) = 3.41 states/eV per cell
total DFT energy (no corrections) = -6.015 eV per atom
E_form (uncorrected) = 3.15 eV per formula unit


# ScNbCuMo

Crystalline ScNbCuMo at its relaxed geometry (PBE-GGA, Alexandria via LeMat-Bulk).

Geometry as extended XYZ:
```
4
Lattice="0.000 3.229 3.229 3.229 0.000 3.229 3.229 3.229 0.000" Properties=species:S:1:pos:R:3 pbc="T T T"
Sc 0.000 0.000 0.000
Nb 3.229 3.229 3.229
Cu 1.614 1.614 1.614
Mo 4.843 4.843 4.843
```

Results
E_form = 18 meV per atom
theoretical density = 7.3 g/cm³
N(E_F) = 2.98 states/eV per cell
total DFT energy (no corrections) = -7.814 eV per atom


# SrNbCuMo2

Crystalline SrNbCuMo2 at its relaxed geometry (PBE-GGA, Alexandria via LeMat-Bulk).

Geometry as extended XYZ:
```
5
Lattice="4.772 0.000 0.000 0.000 4.772 0.000 0.000 0.000 4.802" Properties=species:S:1:pos:R:3 pbc="T T T"
Sr 0.000 0.000 0.000
Nb 2.386 2.386 0.000
Cu 2.386 2.386 2.401
Mo 0.000 2.386 2.401
Mo 2.386 0.000 2.401
```

Results
E_form = 1444 meV per atom
theoretical density = 6.6 g/cm³
N(E_F) = 6.36 states/eV per cell
total DFT energy (no corrections) = -6.058 eV per atom


# Nb2CuTeMo

Crystalline Nb2CuTeMo at its relaxed geometry (PBE-GGA, Alexandria via LeMat-Bulk).

Geometry as extended XYZ:
```
5
Lattice="4.841 0.000 0.000 0.000 4.841 0.000 0.000 0.000 4.790" Properties=species:S:1:pos:R:3 pbc="T T T"
Nb 0.000 2.421 0.000
Nb 2.421 0.000 0.000
Cu 0.000 0.000 2.395
Te 2.421 2.421 2.395
Mo 0.000 0.000 0.000
```

Results
theoretical density = 7.0 g/cm³
N(E_F) = 4.46 states/eV per cell
total DFT energy (no corrections) = -6.534 eV per atom
E_form (uncorrected) = 5.54 eV per formula unit


# TiNbCuMo

Crystalline TiNbCuMo at its relaxed geometry (PBE-GGA, Alexandria via LeMat-Bulk).

Geometry as extended XYZ:
```
4
Lattice="0.000 3.162 3.162 3.162 0.000 3.162 3.162 3.162 0.000" Properties=species:S:1:pos:R:3 pbc="T T T"
Ti 0.000 0.000 0.000
Nb 3.162 3.162 3.162
Cu 4.743 4.743 4.743
Mo 1.581 1.581 1.581
```

Results
E_form = -17 meV per atom
theoretical density = 7.9 g/cm³
N(E_F) = 3.88 states/eV per cell
total DFT energy (no corrections) = -8.240 eV per atom


# ZrNbCuMo

Crystalline ZrNbCuMo at its relaxed geometry (PBE-GGA, Alexandria via LeMat-Bulk).

Geometry as extended XYZ:
```
4
Lattice="0.000 3.255 3.255 3.255 0.000 3.255 3.255 3.255 0.000" Properties=species:S:1:pos:R:3 pbc="T T T"
Zr 0.000 0.000 0.000
Nb 3.255 3.255 3.255
Cu 4.882 4.882 4.882
Mo 1.627 1.627 1.627
```

Results
E_form = 13 meV per atom
theoretical density = 8.3 g/cm³
N(E_F) = 3.80 states/eV per cell
total DFT energy (no corrections) = -8.374 eV per atom


# Cu2NiMo

Crystalline Cu2NiMo at its relaxed geometry (PBE-GGA, Alexandria via LeMat-Bulk).

Geometry as extended XYZ:
```
4
Lattice="4.412 -1.294 0.000 4.412 1.294 0.000 -0.770 0.000 4.460" Properties=species:S:1:pos:R:3 pbc="T T T"
Cu 1.983 0.000 1.078
Cu 6.071 0.000 3.382
Ni 4.412 0.000 0.000
Mo -0.385 0.000 2.230
```

Results
ΔE to the lowest computed polymorph = 116.6 meV per atom
E_form = 180 meV per atom
theoretical density = 9.2 g/cm³
N(E_F) = 3.58 states/eV per cell
total DFT energy (no corrections) = -6.021 eV per atom


# CuNiMo

Crystalline CuNiMo at its relaxed geometry (PBE-GGA, Alexandria via LeMat-Bulk).

Geometry as extended XYZ:
```
3
Lattice="2.662 0.000 0.000 -1.331 2.305 0.000 0.000 0.000 6.448" Properties=species:S:1:pos:R:3 pbc="T T T"
Cu 0.000 0.000 0.000
Ni 0.000 1.537 4.403
Mo 1.331 0.768 2.292
```

Results
ΔE to the lowest computed polymorph = 163.9 meV per atom
E_form = 203 meV per atom
theoretical density = 9.2 g/cm³
N(E_F) = 4.07 states/eV per cell
total DFT energy (no corrections) = -6.700 eV per atom


# CuNi5Mo

Crystalline CuNi5Mo at its relaxed geometry (PBE-GGA, Alexandria via LeMat-Bulk).

Geometry as extended XYZ:
```
14
Lattice="3.584 -2.499 0.000 3.584 2.499 0.000 0.000 0.000 9.614" Properties=species:S:1:pos:R:3 pbc="T T T"
Cu 3.584 1.793 7.210
Cu 3.584 -1.793 2.403
Ni 1.509 0.671 5.904
Ni 1.509 0.671 8.517
Ni 1.509 -0.671 1.097
Ni 1.509 -0.671 3.710
Ni 3.584 0.509 2.403
Ni 3.584 -0.509 7.210
Ni 5.658 0.671 5.904
Ni 5.658 0.671 8.517
Ni 5.658 -0.671 1.097
Ni 5.658 -0.671 3.710
Mo 3.584 0.000 0.000
Mo 3.584 0.000 4.807
```

Results
E_form = 169 meV per atom
theoretical density = 8.7 g/cm³
N(E_F) = 15.04 states/eV per cell
total DFT energy (no corrections) = -6.093 eV per atom


# Cu2NiMo

Crystalline Cu2NiMo at its relaxed geometry (PBE-GGA, Alexandria via LeMat-Bulk).

Geometry as extended XYZ:
```
4
Lattice="2.508 -4.056 0.000 2.508 4.056 0.000 0.000 0.000 2.534" Properties=species:S:1:pos:R:3 pbc="T T T"
Cu 1.254 2.028 0.000
Cu 1.254 -2.028 0.000
Ni 0.000 0.000 1.267
Mo 2.508 0.000 1.267
```

Results
ΔE to the lowest computed polymorph = 218.1 meV per atom
E_form = 281 meV per atom
theoretical density = 9.1 g/cm³
N(E_F) = 4.42 states/eV per cell
total DFT energy (no corrections) = -5.920 eV per atom


# Cu2NiMo

Crystalline Cu2NiMo at its relaxed geometry (PBE-GGA, Alexandria via LeMat-Bulk).

Geometry as extended XYZ:
```
4
Lattice="1.318 0.761 8.557 -1.318 0.761 8.557 0.000 -1.522 8.557" Properties=species:S:1:pos:R:3 pbc="T T T"
Cu 0.000 0.000 6.292
Cu 0.000 0.000 19.379
Ni 0.000 0.000 12.835
Mo 0.000 0.000 0.000
```

Results
ΔE to the lowest computed polymorph = 146.3 meV per atom
E_form = 210 meV per atom
theoretical density = 9.1 g/cm³
N(E_F) = 2.65 states/eV per cell
total DFT energy (no corrections) = -5.992 eV per atom


# Cu2NiMo

Crystalline Cu2NiMo at its relaxed geometry (PBE-GGA, Alexandria via LeMat-Bulk).

Geometry as extended XYZ:
```
4
Lattice="2.595 0.000 0.000 0.000 3.554 0.000 0.000 0.000 5.523" Properties=species:S:1:pos:R:3 pbc="T T T"
Cu 0.000 0.000 0.000
Cu 1.298 1.777 1.251
Ni 1.298 1.777 4.159
Mo 0.000 0.000 2.839
```

Results
ΔE to the lowest computed polymorph = 69.1 meV per atom
E_form = 132 meV per atom
theoretical density = 9.2 g/cm³
N(E_F) = 3.27 states/eV per cell
total DFT energy (no corrections) = -6.069 eV per atom


Please write out number 2 again, unchanged.
# ScNbCuMo

Crystalline ScNbCuMo at its relaxed geometry (PBE-GGA, Alexandria via LeMat-Bulk).

Geometry as extended XYZ:
```
4
Lattice="0.000 3.229 3.229 3.229 0.000 3.229 3.229 3.229 0.000" Properties=species:S:1:pos:R:3 pbc="T T T"
Sc 0.000 0.000 0.000
Nb 3.229 3.229 3.229
Cu 1.614 1.614 1.614
Mo 4.843 4.843 4.843
```

Results
E_form = 18 meV per atom
theoretical density = 7.3 g/cm³
N(E_F) = 2.98 states/eV per cell
total DFT energy (no corrections) = -7.814 eV per atom